1 | Lu2MgOs after structural relaxation, computed with PBE-GGA.

The space group is P6_3/mmc (No. 194) and the conventional cell measures 5.1155, 5.1155 and 7.9525 Å, with angles of 90.00, 90.00 and 120.00 degrees. Symmetry generates all atoms from Lu at (0.3333, 0.6667, 0.0796), Mg at (0.0000, 0.0000, 0.0000) and Os at (0.3333, 0.6667, 0.7500).

---

2 | Lu2MgOs after structural relaxation, computed with PBE-GGA.

The space group is P6_3/mmc (No. 194) and the conventional cell measures 4.3637, 4.3637 and 12.3132 Å, with angles of 90.00, 90.00 and 120.00 degrees. Symmetry generates all atoms from Lu at (0.3333, 0.6667, 0.0893), Mg at (0.3333, 0.6667, 0.7500) and Os at (0.0000, 0.0000, 0.0000).

---

3 | Lu2MgOs after structural relaxation, computed with PBE-GGA.

The space group is P6_3/mmc (No. 194) and the conventional cell measures 4.9216, 4.9216 and 8.3702 Å, with angles of 90.00, 90.00 and 120.00 degrees. Symmetry generates all atoms from Lu at (0.3333, 0.6667, 0.0775), Mg at (0.0000, 0.0000, 0.2500) and Os at (0.3333, 0.6667, 0.7500).

---

The relative energies come out as 1 443; 2 275; 3 0, with values in meV/atom.